1.
## MgP2Br (PBE)

Data for a relaxed structure of MgP2Br.

Output
Total energy, hartree per atom: -0.14479
Excess energy over the best structure of this formula in the dataset, eV per formula unit: 0.07
D(E_F), states/eV/atom: 0.264
Energy relative to the elements, uncorrected, eV per formula unit: -1.67

a = 12.364 Å, b = 3.447 Å, c = 4.260 Å
α = 90.00°, β = 96.58°, γ = 90.00°
Space group C2/m (No. 12)
Inequivalent atoms, fractional coordinates:
Mg1 0.000 0.000 0.000 x2
P1 0.216 0.000 0.115 x4
Br1 0.000 0.500 0.500 x2

2.
## MgPBr (PBE)

Data for a relaxed structure of MgPBr.

Output
Total energy, hartree per atom: -0.13295
Excess energy over the best structure of this formula in the dataset, eV per formula unit: 0.21
D(E_F), states/eV/atom: 0.033
Energy relative to the elements, uncorrected, eV per formula unit: -2.18

a = 3.635 Å, b = 5.056 Å, c = 8.523 Å
α = 74.92°, β = 89.96°, γ = 89.97°
Space group P1 (No. 1)
Inequivalent atoms, fractional coordinates:
Mg1 0.000 0.000 0.000 x1
Mg2 0.497 0.658 0.529 x1
P1 0.000 0.885 0.727 x1
P2 0.501 0.123 0.588 x1
Br1 0.500 0.333 0.018 x1
Br2 0.999 0.676 0.297 x1

3.
## MgPBr3 (PBE)

Data for a relaxed structure of MgPBr3.

Output
Total energy, hartree per atom: -0.09265
Excess energy over the best structure of this formula in the dataset, eV per formula unit: 0.00
D(E_F), states/eV/atom: 1.318
Energy relative to the elements, uncorrected, eV per formula unit: -0.58

a = 5.252 Å, b = 5.252 Å, c = 5.252 Å
α = 90.00°, β = 90.00°, γ = 90.00°
Space group Pm-3m (No. 221)
Inequivalent atoms, fractional coordinates:
Mg1 0.000 0.000 0.000 x1
P1 0.500 0.500 0.500 x1
Br1 0.000 0.000 0.500 x3